No. 1
Pr4Nd5Mg2 after structural relaxation, computed with GGA-PBE.

Structure (POSCAR):
```
Pr4Nd5Mg2
1.0
11.5606 -1.8041 0.0000
11.5606 1.8041 0.0000
-0.4989 0.0000 8.9477
Pr Nd Mg
4 5 2
Direct
0.0707 0.0707 0.2106
0.2879 0.2879 0.6773
0.7121 0.7121 0.3227
0.9293 0.9293 0.7894
0.1290 0.1290 0.6025
0.1834 0.1834 0.9686
0.5000 0.5000 0.5000
0.8166 0.8166 0.0314
0.8710 0.8710 0.3975
0.4441 0.4441 0.1269
0.5559 0.5559 0.8731
```

Properties
E_tot, eV per atom: -4.146
ΔE to the lowest computed polymorph, eV/f.u.: 0.00
Spin magnetization, Bohr magnetons per cell: 0.000


No. 2
PrPd5Au7 after structural relaxation, computed with GGA-PBE.

Structure (POSCAR):
```
PrPd5Au7
1.0
-2.7743 4.6755 4.6394
2.7743 -4.6755 4.6394
2.7743 4.6755 -4.6394
Pr Pd Au
1 5 7
Direct
0.0000 0.0000 0.0000
0.0062 0.0073 0.4981
0.0062 0.5081 0.9989
0.5092 0.0073 0.0011
0.5092 0.5081 0.5019
0.7819 0.2819 0.5000
0.2136 0.5062 0.7074
0.2313 0.7313 0.5000
0.3438 0.3438 0.0000
0.3530 0.0097 0.3433
0.6642 0.6642 0.0000
0.6664 0.0097 0.6567
0.7988 0.5062 0.2926
```

Properties
E_tot, eV per atom: -4.415
Spin magnetization, Bohr magnetons per cell: 0.000


No. 3
La2Mg3Cd12Ag after structural relaxation, computed with GGA-PBE.

Structure (POSCAR):
```
La2Mg3Cd12Ag
1.0
3.2144 1.8559 13.2236
-3.2144 1.8559 13.2236
0.0000 -3.7117 13.2236
La Mg Cd Ag
2 3 12 1
Direct
0.1411 0.1411 0.1411
0.8589 0.8589 0.8589
0.0000 0.5000 0.5000
0.5000 0.0000 0.5000
0.5000 0.5000 0.0000
0.0970 0.0970 0.6344
0.0970 0.6344 0.0970
0.1049 0.6190 0.6190
0.3656 0.9030 0.9030
0.3810 0.3810 0.8951
0.3810 0.8951 0.3810
0.6190 0.1049 0.6190
0.6190 0.6190 0.1049
0.6344 0.0970 0.0970
0.8951 0.3810 0.3810
0.9030 0.3656 0.9030
0.9030 0.9030 0.3656
0.5000 0.5000 0.5000
```

Properties
E_tot, eV per atom: -1.636
Spin magnetization, Bohr magnetons per cell: 0.000


What did we get for E_form? Answer: 0.05, -0.29, -0.05 eV/atom, in the order shown.